1.
Computed, not measured: a relaxed RbV2Re crystal at the PBE level of DFT. Values from VASP.

Calculated values
Electronic total energy   -6.3113 eV per atom
Symmetry   Fm-3m (225)
Offset from the most stable computed form   0.000 eV per atom
Crystal system   cubic
Density   8.47 g/cm3
ΔE_f   6.4 eV/f.u.

Geometry as Quantum ESPRESSO input:
```
&SYSTEM
  ibrav = 0, nat = 16, ntyp = 3
/
ATOMIC_SPECIES
Rb 85.47 Rb.upf
V 50.94 V.upf
Re 186.21 Re.upf
ATOMIC_POSITIONS crystal
Rb 0.000 0.000 0.000
Rb 0.000 0.500 0.500
Rb 0.500 0.000 0.500
Rb 0.500 0.500 0.000
V 0.250 0.250 0.250
V 0.250 0.250 0.750
V 0.250 0.750 0.250
V 0.250 0.750 0.750
V 0.750 0.250 0.250
V 0.750 0.250 0.750
V 0.750 0.750 0.250
V 0.750 0.750 0.750
Re 0.000 0.000 0.500
Re 0.000 0.500 0.000
Re 0.500 0.000 0.000
Re 0.500 0.500 0.500
CELL_PARAMETERS angstrom
6.642 0.000 0.000
0.000 6.642 0.000
0.000 0.000 6.642
```

---

2.
Computed, not measured: a relaxed RbV3Re crystal at the PBE level of DFT. Values from VASP.

Calculated values
Electronic total energy   -6.8465 eV per atom
Symmetry   Pm-3m (221)
Offset from the most stable computed form   0.000 eV per atom
Crystal system   cubic
Density   5.85 g/cm3
ΔE_f   6.5 eV/f.u.

Geometry as Quantum ESPRESSO input:
```
&SYSTEM
  ibrav = 0, nat = 5, ntyp = 3
/
ATOMIC_SPECIES
Rb 85.47 Rb.upf
V 50.94 V.upf
Re 186.21 Re.upf
ATOMIC_POSITIONS crystal
Rb 0.000 0.000 0.000
V 0.000 0.500 0.500
V 0.500 0.000 0.500
V 0.500 0.500 0.000
Re 0.500 0.500 0.500
CELL_PARAMETERS angstrom
4.938 0.000 0.000
0.000 4.938 0.000
0.000 0.000 4.938
```

---

3.
Computed, not measured: a relaxed RbVRe3 crystal at the PBE level of DFT. Values from VASP.

Calculated values
Electronic total energy   -5.4663 eV per atom
Symmetry   Pm-3m (221)
Offset from the most stable computed form   1.951 eV per atom
Crystal system   cubic
Density   11.55 g/cm3
ΔE_f   20.1 eV/f.u.

Geometry as Quantum ESPRESSO input:
```
&SYSTEM
  ibrav = 0, nat = 5, ntyp = 3
/
ATOMIC_SPECIES
Rb 85.47 Rb.upf
V 50.94 V.upf
Re 186.21 Re.upf
ATOMIC_POSITIONS crystal
Rb 0.000 0.000 0.000
V 0.500 0.500 0.500
Re 0.000 0.000 0.500
Re 0.000 0.500 0.000
Re 0.500 0.000 0.000
CELL_PARAMETERS angstrom
4.640 0.000 0.000
0.000 4.640 0.000
0.000 0.000 4.640
```

---

4.
Computed, not measured: a relaxed RbRe2W crystal at the PBE level of DFT. Values from VASP.

Calculated values
Electronic total energy   -7.6968 eV per atom
Symmetry   I4_1/amd (141)
Offset from the most stable computed form   0.065 eV per atom
Crystal system   tetragonal
Density   9.47 g/cm3
ΔE_f   8.0 eV/f.u.

Geometry as Quantum ESPRESSO input:
```
&SYSTEM
  ibrav = 0, nat = 16, ntyp = 3
/
ATOMIC_SPECIES
Rb 85.47 Rb.upf
Re 186.21 Re.upf
W 183.84 W.upf
ATOMIC_POSITIONS crystal
Rb 0.000 0.250 0.375
Rb 0.000 0.750 0.625
Rb 0.500 0.250 0.125
Rb 0.500 0.750 0.875
Re 0.000 0.000 0.000
Re 0.000 0.500 0.000
Re 0.250 0.250 0.750
Re 0.250 0.750 0.250
Re 0.500 0.000 0.500
Re 0.500 0.500 0.500
Re 0.750 0.250 0.750
Re 0.750 0.750 0.250
W 0.000 0.250 0.875
W 0.000 0.750 0.125
W 0.500 0.250 0.625
W 0.500 0.750 0.375
CELL_PARAMETERS angstrom
5.100 0.000 0.000
0.000 5.100 0.000
0.000 0.000 17.301
```

---

5.
Computed, not measured: a relaxed RbRe2W crystal at the PBE level of DFT. Values from VASP.

Calculated values
Electronic total energy   -7.7613 eV per atom
Symmetry   Fm-3m (225)
Offset from the most stable computed form   0.000 eV per atom
Crystal system   cubic
Density   15.01 g/cm3
ΔE_f   7.8 eV/f.u.

Geometry as Quantum ESPRESSO input:
```
&SYSTEM
  ibrav = 0, nat = 16, ntyp = 3
/
ATOMIC_SPECIES
Rb 85.47 Rb.upf
Re 186.21 Re.upf
W 183.84 W.upf
ATOMIC_POSITIONS crystal
Rb 0.000 0.000 0.000
Rb 0.000 0.500 0.500
Rb 0.500 0.000 0.500
Rb 0.500 0.500 0.000
Re 0.250 0.250 0.250
Re 0.250 0.250 0.750
Re 0.250 0.750 0.250
Re 0.250 0.750 0.750
Re 0.750 0.250 0.250
Re 0.750 0.250 0.750
Re 0.750 0.750 0.250
Re 0.750 0.750 0.750
W 0.000 0.000 0.500
W 0.000 0.500 0.000
W 0.500 0.000 0.000
W 0.500 0.500 0.500
CELL_PARAMETERS angstrom
6.573 0.000 0.000
0.000 6.573 0.000
0.000 0.000 6.573
```

---

6.
Computed, not measured: a relaxed Rb3ReW crystal at the PBE level of DFT. Values from VASP.

Calculated values
Electronic total energy   -3.0320 eV per atom
Symmetry   Pm-3m (221)
Offset from the most stable computed form   0.000 eV per atom
Crystal system   cubic
Density   3.71 g/cm3
ΔE_f   13.1 eV/f.u.

Geometry as Quantum ESPRESSO input:
```
&SYSTEM
  ibrav = 0, nat = 5, ntyp = 3
/
ATOMIC_SPECIES
Rb 85.47 Rb.upf
Re 186.21 Re.upf
W 183.84 W.upf
ATOMIC_POSITIONS crystal
Rb 0.000 0.000 0.500
Rb 0.000 0.500 0.000
Rb 0.500 0.000 0.000
Re 0.000 0.000 0.000
W 0.500 0.500 0.500
CELL_PARAMETERS angstrom
6.548 0.000 0.000
0.000 6.548 0.000
0.000 0.000 6.548
```

---

7.
Computed, not measured: a relaxed RbYRe2 crystal at the PBE level of DFT. Values from VASP.

Calculated values
Electronic total energy   -6.4684 eV per atom
Symmetry   I-42d (122)
Offset from the most stable computed form   0.000 eV per atom
Crystal system   tetragonal
Density   7.89 g/cm3
ΔE_f   6.5 eV/f.u.

Geometry as Quantum ESPRESSO input:
```
&SYSTEM
  ibrav = 0, nat = 16, ntyp = 3
/
ATOMIC_SPECIES
Rb 85.47 Rb.upf
Y 88.91 Y.upf
Re 186.21 Re.upf
ATOMIC_POSITIONS crystal
Rb 0.000 0.000 0.000
Rb 0.000 0.500 0.250
Rb 0.500 0.000 0.750
Rb 0.500 0.500 0.500
Y 0.000 0.000 0.500
Y 0.000 0.500 0.750
Y 0.500 0.000 0.250
Y 0.500 0.500 0.000
Re 0.077 0.750 0.625
Re 0.250 0.077 0.375
Re 0.250 0.423 0.875
Re 0.423 0.750 0.125
Re 0.577 0.250 0.125
Re 0.750 0.577 0.875
Re 0.750 0.923 0.375
Re 0.923 0.250 0.625
CELL_PARAMETERS angstrom
4.720 0.000 0.000
0.000 4.720 0.000
0.000 0.000 20.666
```

---

8.
Computed, not measured: a relaxed RbYRe3 crystal at the PBE level of DFT. Values from VASP.

Calculated values
Electronic total energy   -5.6461 eV per atom
Symmetry   Pm-3m (221)
Offset from the most stable computed form   0.284 eV per atom
Crystal system   cubic
Density   11.21 g/cm3
ΔE_f   16.5 eV/f.u.

Geometry as Quantum ESPRESSO input:
```
&SYSTEM
  ibrav = 0, nat = 5, ntyp = 3
/
ATOMIC_SPECIES
Rb 85.47 Rb.upf
Y 88.91 Y.upf
Re 186.21 Re.upf
ATOMIC_POSITIONS crystal
Rb 0.000 0.000 0.000
Y 0.500 0.500 0.500
Re 0.000 0.000 0.500
Re 0.000 0.500 0.000
Re 0.500 0.000 0.000
CELL_PARAMETERS angstrom
4.771 0.000 0.000
0.000 4.771 0.000
0.000 0.000 4.771
```

---

9.
Computed, not measured: a relaxed Rb2YRe crystal at the PBE level of DFT. Values from VASP.

Calculated values
Electronic total energy   -3.7353 eV per atom
Symmetry   I-42d (122)
Offset from the most stable computed form   0.000 eV per atom
Crystal system   tetragonal
Density   5.61 g/cm3
ΔE_f   5.9 eV/f.u.

Geometry as Quantum ESPRESSO input:
```
&SYSTEM
  ibrav = 0, nat = 16, ntyp = 3
/
ATOMIC_SPECIES
Rb 85.47 Rb.upf
Y 88.91 Y.upf
Re 186.21 Re.upf
ATOMIC_POSITIONS crystal
Rb 0.243 0.250 0.125
Rb 0.250 0.743 0.375
Rb 0.250 0.757 0.875
Rb 0.257 0.250 0.625
Rb 0.743 0.750 0.625
Rb 0.750 0.243 0.875
Rb 0.750 0.257 0.375
Rb 0.757 0.750 0.125
Y 0.000 0.000 0.500
Y 0.000 0.500 0.750
Y 0.500 0.000 0.250
Y 0.500 0.500 0.000
Re 0.000 0.000 0.000
Re 0.000 0.500 0.250
Re 0.500 0.000 0.750
Re 0.500 0.500 0.500
CELL_PARAMETERS angstrom
4.434 0.000 0.000
0.000 4.434 0.000
0.000 0.000 26.879
```

---

10.
Computed, not measured: a relaxed RbYRe2 crystal at the PBE level of DFT. Values from VASP.

Calculated values
Electronic total energy   -6.0416 eV per atom
Symmetry   Fm-3m (225)
Offset from the most stable computed form   0.427 eV per atom
Crystal system   cubic
Density   10.01 g/cm3
ΔE_f   8.2 eV/f.u.

Geometry as Quantum ESPRESSO input:
```
&SYSTEM
  ibrav = 0, nat = 16, ntyp = 3
/
ATOMIC_SPECIES
Rb 85.47 Rb.upf
Y 88.91 Y.upf
Re 186.21 Re.upf
ATOMIC_POSITIONS crystal
Rb 0.000 0.000 0.000
Rb 0.000 0.500 0.500
Rb 0.500 0.000 0.500
Rb 0.500 0.500 0.000
Y 0.000 0.000 0.500
Y 0.000 0.500 0.000
Y 0.500 0.000 0.000
Y 0.500 0.500 0.500
Re 0.250 0.250 0.250
Re 0.250 0.250 0.750
Re 0.250 0.750 0.250
Re 0.250 0.750 0.750
Re 0.750 0.250 0.250
Re 0.750 0.250 0.750
Re 0.750 0.750 0.250
Re 0.750 0.750 0.750
CELL_PARAMETERS angstrom
7.133 0.000 0.000
0.000 7.133 0.000
0.000 0.000 7.133
```

---

11.
Computed, not measured: a relaxed RbY2Re crystal at the PBE level of DFT. Values from VASP.

Calculated values
Electronic total energy   -5.6970 eV per atom
Symmetry   Fm-3m (225)
Offset from the most stable computed form   0.000 eV per atom
Crystal system   cubic
Density   7.23 g/cm3
ΔE_f   3.6 eV/f.u.

Geometry as Quantum ESPRESSO input:
```
&SYSTEM
  ibrav = 0, nat = 16, ntyp = 3
/
ATOMIC_SPECIES
Rb 85.47 Rb.upf
Y 88.91 Y.upf
Re 186.21 Re.upf
ATOMIC_POSITIONS crystal
Rb 0.000 0.000 0.000
Rb 0.000 0.500 0.500
Rb 0.500 0.000 0.500
Rb 0.500 0.500 0.000
Y 0.250 0.250 0.250
Y 0.250 0.250 0.750
Y 0.250 0.750 0.250
Y 0.250 0.750 0.750
Y 0.750 0.250 0.250
Y 0.750 0.250 0.750
Y 0.750 0.750 0.250
Y 0.750 0.750 0.750
Re 0.000 0.000 0.500
Re 0.000 0.500 0.000
Re 0.500 0.000 0.000
Re 0.500 0.500 0.500
CELL_PARAMETERS angstrom
7.446 0.000 0.000
0.000 7.446 0.000
0.000 0.000 7.446
```

---

12.
Computed, not measured: a relaxed RbYRe3 crystal at the PBE level of DFT. Values from VASP.

Calculated values
Electronic total energy   -5.9298 eV per atom
Symmetry   Pm-3m (221)
Offset from the most stable computed form   0.000 eV per atom
Crystal system   cubic
Density   9.07 g/cm3
ΔE_f   15.1 eV/f.u.

Geometry as Quantum ESPRESSO input:
```
&SYSTEM
  ibrav = 0, nat = 5, ntyp = 3
/
ATOMIC_SPECIES
Rb 85.47 Rb.upf
Y 88.91 Y.upf
Re 186.21 Re.upf
ATOMIC_POSITIONS crystal
Rb 0.000 0.000 0.000
Y 0.500 0.500 0.500
Re 0.000 0.500 0.500
Re 0.500 0.000 0.500
Re 0.500 0.500 0.000
CELL_PARAMETERS angstrom
5.121 0.000 0.000
0.000 5.121 0.000
0.000 0.000 5.121
```